Rb3Pu3CuS8 | GGA-PBE | optimized geometry

```
Rb3Pu3CuS8
1.0
7.7842 0.0000 0.0000
-3.8921 7.0968 -0.0920
0.0000 -4.7901 7.7599
Pu S Cu Rb
3 8 1 3
Cartesian
1.9461 1.1533 3.8340
3.8921 -2.3950 3.8800
-1.9461 1.1533 3.8340
3.8921 1.8922 2.2015
0.0000 0.4145 5.4664
0.0000 2.3621 2.3435
-2.1252 3.5810 5.0722
1.7669 -1.2743 2.5957
6.0173 -1.2743 2.5957
2.1252 3.5810 5.0722
3.8921 -0.0554 5.3244
0.0000 -2.3950 3.8800
0.0000 0.0000 0.0000
-1.9461 3.5484 -0.0460
1.9461 3.5484 -0.0460
```

E_form (uncorrected): -1.244 eV per atom
Calculated density: 5.1 Mg/m³
Symmetry: C2/m (12)
VASP energy: -0.4982 Ry per atom

=====

Rb2PuCu2S6 | GGA-PBE | optimized geometry

```
Rb2PuCu2S6
1.0
-2.9198 6.4743 -1.4356
-0.4251 -2.7635 6.6878
6.9908 2.6160 -2.4205
Pu S Cu Rb
1 6 2 2
Cartesian
2.0355 4.5452 -1.9280
-0.3172 5.4919 -1.6815
2.5567 3.9535 3.8217
3.9631 0.8349 4.5133
0.8626 0.9376 2.4741
2.7833 5.3892 0.3577
1.0892 2.3733 -0.9900
1.5168 0.7755 0.4125
2.1291 5.5513 2.4192
-1.0218 3.9405 1.5631
4.6676 2.3863 1.2686
```

E_form (uncorrected): -0.684 eV per atom
Calculated density: 4.0 Mg/m³
Symmetry: C2/m (12)
VASP energy: -0.3791 Ry per atom

=====

Rb3Pu3CuSe8 | GGA-PBE | optimized geometry

```
Rb3Pu3CuSe8
1.0
8.1681 0.0000 0.0000
-4.0840 7.4220 -0.0646
0.0000 -4.9852 8.0570
Rb Se Pu Cu
3 8 3 1
Cartesian
-2.0420 3.7110 -0.0323
0.0000 0.0000 0.0000
2.0420 3.7110 -0.0323
0.0000 2.4874 2.4055
1.7700 -1.3649 2.6992
0.0000 0.6246 5.8148
6.3981 -1.3649 2.6992
4.0840 -0.0506 5.5869
-2.3140 3.8017 5.2932
2.3140 3.8017 5.2932
4.0840 1.8122 2.1776
2.0420 1.2184 3.9962
-2.0420 1.2184 3.9962
4.0840 -2.4926 4.0285
0.0000 -2.4926 4.0285
```

E_form (uncorrected): -1.136 eV per atom
Calculated density: 5.8 Mg/m³
Symmetry: C2/m (12)
VASP energy: -0.4651 Ry per atom

=====

RbPu4Cu3Se12 | GGA-PBE | optimized geometry

```
RbPu4Cu3Se12
1.0
-1.2362 2.6846 -8.3750
-7.7478 -2.6615 3.4299
3.2163 6.7292 4.8216
Se Pu Cu Rb
12 4 3 1
Cartesian
-6.3658 -0.2421 0.9304
-2.8296 5.4183 -2.0206
-2.6172 1.5333 -2.1932
0.5981 6.9944 -1.0539
-5.7249 1.5413 -3.9038
-5.6808 3.0143 -0.2988
-3.1505 5.2190 2.0697
-4.5056 2.7412 4.7514
-0.0869 3.7380 0.1753
-1.2621 4.0112 -4.8749
-0.0428 5.2110 3.7803
-2.9381 1.3341 1.8971
-3.8739 -1.3308 1.7149
-0.6181 1.3423 -4.1875
-2.8838 3.3762 -0.0618
1.6082 3.3646 2.4108
-4.4920 0.0115 -2.4726
-2.2657 2.0339 4.1257
0.9900 4.7069 -1.7767
0.0000 0.0000 0.0000
```

E_form (uncorrected): -0.731 eV per atom
Calculated density: 6.8 Mg/m³
Symmetry: Im-3 (204)
VASP energy: -0.4668 Ry per atom

=====

RbPu2CuSe4 | GGA-PBE | optimized geometry

```
RbPu2CuSe4
1.0
4.1900 0.0000 0.0000
-2.0950 7.2361 0.0000
0.0000 0.0000 14.4112
Pu Cu Se Rb
4 2 8 2
Cartesian
0.0000 5.3066 8.0722
0.0000 5.3066 13.5446
2.0950 1.9295 6.3390
2.0950 1.9295 0.8666
0.0000 2.3633 3.6028
2.0950 4.8728 10.8084
0.0000 0.0000 0.0000
0.0000 3.7731 5.6200
0.0000 0.0000 7.2056
2.0950 3.4631 8.7912
0.0000 6.1750 10.8084
0.0000 3.7731 1.5856
2.0950 1.0612 3.6028
2.0950 3.4631 12.8255
0.0000 1.5617 10.8084
2.0950 5.6745 3.6028
```

E_form (uncorrected): -1.256 eV per atom
Calculated density: 7.2 Mg/m³
Symmetry: Cmcm (63)
VASP energy: -0.5303 Ry per atom

=====

Rb4Pu3CuSe8 | GGA-PBE | optimized geometry

```
Rb4Pu3CuSe8
1.0
-0.9561 1.7121 8.1422
-9.1390 -1.6639 -0.7232
5.3081 -6.2304 -2.3739
Se Pu Rb Cu
8 3 4 1
Cartesian
-0.1764 -3.3988 0.6940
-3.4412 0.5470 6.0427
-4.6106 -2.7834 4.3511
-2.9407 -0.3492 1.7808
-1.8463 -5.8331 3.2643
-4.0538 -3.7370 0.3098
-1.3458 -6.7292 -0.9976
-0.7332 -2.4452 4.7353
-5.0475 0.0241 3.7095
-1.9155 -3.9472 -1.5486
-2.3935 -3.0911 2.5226
0.0000 0.0000 0.0000
2.1760 -2.2591 2.8842
-0.4780 0.8561 4.0711
2.6540 -3.1152 -1.1869
-4.5695 -0.8320 -0.3616
```

E_form (uncorrected): -1.173 eV per atom
Calculated density: 6.0 Mg/m³
Symmetry: C2/m (12)
VASP energy: -0.4483 Ry per atom

=====

RbPuCu2Se4 | GGA-PBE | optimized geometry

```
RbPuCu2Se4
1.0
6.7186 0.0000 0.0000
3.3593 5.9531 -0.0321
3.3593 0.4559 5.9357
Se Cu Pu Rb
4 2 1 1
Cartesian
5.0590 5.3871 2.9205
5.0590 1.0219 2.9832
8.3783 3.3522 5.1297
8.3783 3.0569 0.7740
10.0780 4.1196 3.7948
3.3593 2.2894 2.1089
6.7186 3.2045 2.9518
0.0000 0.0000 0.0000
```

E_form (uncorrected): -0.531 eV per atom
Calculated density: 5.4 Mg/m³
Symmetry: I222 (23)
VASP energy: -0.3829 Ry per atom

=====

RbPu2CuSe5 | GGA-PBE | optimized geometry

```
RbPu2CuSe5
1.0
-6.7954 2.4086 3.3958
-4.0542 -2.3500 -6.4460
4.5623 -6.6103 4.4668
Pu Rb Se Cu
4 2 10 2
Cartesian
-2.4741 -0.3990 -1.6180
-5.1670 1.2138 1.2005
-8.3755 0.4575 -1.4322
-5.6825 -1.1553 -4.2507
-0.4313 -3.2905 1.4709
-5.8561 -3.2612 -0.0542
0.0000 0.0000 0.0000
-7.4843 -0.4226 1.3463
-3.0663 -5.4266 0.3920
1.1969 -6.1292 0.0703
-2.4901 -3.7374 4.3400
-3.2210 -1.1252 1.0246
1.7732 -4.4399 4.0184
-5.4248 0.0293 -1.5251
-8.0605 -2.1118 -2.6017
-3.7973 -2.8144 -2.9234
-3.8290 -2.0862 3.1688
-2.4584 -4.4655 -1.7521
```

E_form (uncorrected): -1.076 eV per atom
Calculated density: 7.4 Mg/m³
Symmetry: I4/mcm (140)
VASP energy: -0.4968 Ry per atom

=====

Rb2PuCu2Te4 | GGA-PBE | optimized geometry

```
Rb2PuCu2Te4
1.0
-2.3602 -0.6596 3.6320
7.1768 -2.6335 4.1854
0.4033 8.3103 -0.8715
Te Cu Pu Rb
4 2 1 2
Cartesian
0.9223 7.0120 1.8727
4.3108 2.2663 5.8555
4.2976 -1.9947 5.0732
0.9091 2.7509 1.0903
-0.3993 5.0576 0.6590
5.6191 -0.0404 6.2869
0.0000 0.0000 0.0000
1.4167 4.3414 4.3517
3.8032 0.6759 2.5942
```

E_form (uncorrected): -0.730 eV per atom
Calculated density: 6.0 Mg/m³
Symmetry: C2/m (12)
VASP energy: -0.3561 Ry per atom

=====

RbPuCu2Te4 | GGA-PBE | optimized geometry

```
RbPuCu2Te4
1.0
-2.1701 6.0510 -0.0268
-6.4019 1.1283 2.1496
0.4109 3.5878 5.8170
Te Rb Cu Pu
4 1 2 1
Cartesian
-3.8684 7.1642 6.8680
-6.1946 2.9385 5.0503
-0.8914 4.8308 2.9027
-5.3679 6.6006 1.0585
0.0000 0.0000 0.0000
-2.4370 2.5532 2.8149
-5.7241 8.2139 5.1249
-4.0806 5.3835 3.9699
```

E_form (uncorrected): -0.306 eV per atom
Calculated density: 6.9 Mg/m³
Symmetry: I222 (23)
VASP energy: -0.3538 Ry per atom

=====

Rb3Pu2CuTe6 | GGA-PBE | optimized geometry

```
Rb3Pu2CuTe6
1.0
7.7654 0.0148 -0.0018
-3.8680 6.7335 -0.0018
-1.3018 -2.2541 8.4319
Rb Pu Te Cu
3 2 6 1
Cartesian
1.2978 2.2471 4.2142
-2.5498 4.4693 4.2142
5.1454 0.0250 4.2142
0.0113 4.4931 -0.0018
3.8862 2.2553 -0.0018
3.8250 2.3501 6.8480
-0.0443 -0.0766 6.8205
-1.2294 2.1442 1.5804
2.4716 0.0067 1.5804
0.1240 4.4876 6.8480
2.6399 4.5709 1.6078
0.0000 0.0000 0.0000
```

E_form (uncorrected): -0.788 eV per atom
Calculated density: 5.9 Mg/m³
Symmetry: C2/m (12)
VASP energy: -0.3918 Ry per atom

=====

PuThCuRe | GGA-PBE | optimized geometry

```
PuThCuRe
1.0
-1.4686 4.6224 -0.9983
-4.2180 0.7777 -2.4747
-3.9257 1.9098 2.3371
Pu Re Cu Th
1 1 1 1
Cartesian
0.0000 0.0000 0.0000
-7.2092 5.4825 -0.8519
-2.4031 1.8275 -0.2840
-4.8062 3.6550 -0.5679
```

Calculated density: 14.0 Mg/m³
ΔH_f (0 K): 0.125 eV/atom
Symmetry: F-43m (216)
VASP energy: -0.6945 Ry per atom

=====

Pu6CuRh2 | GGA-PBE | optimized geometry

```
Pu6CuRh2
1.0
-3.7430 3.7215 0.0715
-5.8226 -5.9107 2.8400
6.6608 0.8391 1.8631
Pu Rh Cu
6 2 1
Cartesian
-3.0247 0.6902 0.5982
-4.0581 -3.1483 2.7659
-0.6092 0.0090 2.8684
1.1534 1.7983 2.0087
-2.2955 -1.3590 1.9061
-6.5409 -2.8793 2.3133
1.9650 -0.9753 1.9988
-4.8698 -0.3746 2.7758
0.0000 0.0000 0.0000
```

Calculated density: 17.6 Mg/m³
ΔH_f (0 K): -0.052 eV/atom
Symmetry: C2/m (12)
VASP energy: -0.8596 Ry per atom

=====

Pu4CuRh3 | GGA-PBE | optimized geometry

```
Pu4CuRh3
1.0
-5.1665 1.1358 -2.7375
-0.9593 -3.6284 4.6250
2.3825 5.1025 1.9403
Cu Pu Rh
1 4 3
Cartesian
0.0000 0.0000 0.0000
-1.8720 1.3052 1.9143
-2.5828 0.5678 -1.3685
-0.4796 -1.8139 2.3121
1.1911 2.5508 0.9700
-1.3920 3.1191 -0.3986
0.7116 0.7370 3.2827
-3.0629 -1.2463 0.9438
```

Energy above the most stable polymorph in this dataset: 12 meV per atom
Calculated density: 13.8 Mg/m³
ΔH_f (0 K): -0.284 eV/atom
Symmetry: Im-3m (229)
VASP energy: -0.7878 Ry per atom

=====

PuCuRh3 | GGA-PBE | optimized geometry

```
PuCuRh3
1.0
7.3704 0.0000 0.0000
3.6852 4.9535 -1.1518
3.6852 -0.7553 5.0292
Rh Cu Pu
6 2 2
Cartesian
2.3489 1.0219 0.9438
12.3918 3.1763 2.9336
7.3704 0.5477 3.6185
7.3704 3.6505 0.2589
5.0214 1.0219 0.9438
9.7193 3.1763 2.9336
7.3704 2.9385 2.7140
7.3704 1.2597 1.1635
3.6852 3.4583 0.4670
3.6852 0.7399 3.4104
```

Calculated density: 11.5 Mg/m³
ΔH_f (0 K): 0.106 eV/atom
Symmetry: Immm (71)
VASP energy: -0.5873 Ry per atom

=====

Pu2Cu2Rh | GGA-PBE | optimized geometry

```
Pu2Cu2Rh
1.0
-1.5156 0.8763 4.2783
-3.0223 -3.5547 -2.8399
4.1186 -1.6899 1.8051
Pu Cu Rh
2 2 1
Cartesian
-1.8285 -2.0223 2.2638
1.4092 -2.3460 0.9797
-0.7025 -4.3763 0.6475
0.2832 0.0080 2.5960
0.0000 0.0000 0.0000
```

Energy above the most stable polymorph in this dataset: 0 meV per atom
Calculated density: 12.4 Mg/m³
ΔH_f (0 K): -0.152 eV/atom
Symmetry: C2/m (12)
VASP energy: -0.6610 Ry per atom

=====

PuCuRh | GGA-PBE | optimized geometry

```
PuCuRh
1.0
3.2785 0.0000 0.0000
0.0000 4.4055 0.0000
0.0000 -2.2027 3.8153
Cu Rh Pu
1 1 1
Cartesian
0.5486 2.2027 1.2717
0.5448 0.0000 0.0000
2.1851 0.0000 2.5435
```

Energy above the most stable polymorph in this dataset: 125 meV per atom
Calculated density: 12.4 Mg/m³
ΔH_f (0 K): -0.177 eV/atom
Symmetry: P-6m2 (187)
VASP energy: -0.6446 Ry per atom

=====

Pu2Cu2Rh | GGA-PBE | optimized geometry

```
Pu2Cu2Rh
1.0
4.5032 0.0000 0.0000
2.2516 5.0643 0.3742
2.2516 1.6948 8.3705
Rh Pu Cu
2 4 4
Cartesian
4.5032 1.7746 2.4493
4.5032 4.9844 6.2954
4.5032 1.9069 5.1870
4.5032 4.8521 3.5577
6.7548 5.1619 8.2538
2.2516 1.5971 0.4910
2.2516 2.8482 3.2515
6.7548 3.9109 5.4933
2.2516 2.1546 7.2324
6.7548 4.6044 1.5123
```

Energy above the most stable polymorph in this dataset: 24 meV per atom
Calculated density: 12.7 Mg/m³
ΔH_f (0 K): -0.127 eV/atom
Symmetry: C2/m (12)
VASP energy: -0.6592 Ry per atom

=====

Pu4CuRh4 | GGA-PBE | optimized geometry

```
Pu4CuRh4
1.0
-2.4215 -3.2146 -2.5208
3.1682 -2.1685 -4.7509
0.8541 -5.7116 1.9899
Rh Pu Cu
4 4 1
Cartesian
-0.6623 -7.8379 -2.7880
1.9167 -6.2488 -2.8187
-0.3159 -4.8459 -2.4631
2.2631 -3.2568 -2.4939
-0.8851 -6.0940 -0.3248
1.4477 -9.2304 -3.0391
0.1531 -1.8643 -2.2428
2.4860 -5.0007 -4.9571
0.0000 0.0000 0.0000
```

Calculated density: 16.0 Mg/m³
ΔH_f (0 K): -0.056 eV/atom
Symmetry: I4/m (87)
VASP energy: -0.7459 Ry per atom

=====

Pu2CuRh6 | GGA-PBE | optimized geometry

```
Pu2CuRh6
1.0
5.7892 -0.0307 -0.0178
0.0395 5.5434 0.0072
0.0395 2.7680 4.8028
Rh Pu Cu
6 2 1
Cartesian
3.9450 1.4312 0.8283
1.9011 4.2101 3.9617
3.9672 4.0706 0.8306
3.9672 2.7482 3.1156
1.9233 6.8495 3.9640
1.9011 5.5325 1.6766
1.0585 2.7654 1.6004
4.8098 5.5153 3.1919
0.0000 0.0000 0.0000
```

Calculated density: 12.6 Mg/m³
ΔH_f (0 K): -0.214 eV/atom
Symmetry: C2/m (12)
VASP energy: -0.6435 Ry per atom